--- i ---
# AcPaSi GGA-PBE optimized geometry
# Magnetic moment (Bohr magnetons per cell): 1.1
# Volume (Å³ per cell): 87.1
# Mass density (g/cm³): 9.27
data_AcPaSi
_chemical_formula_sum 'Ac1 Pa1 Si1'
_cell_length_a 4.7616
_cell_length_b 4.7616
_cell_length_c 4.4343
_cell_angle_alpha 90.00
_cell_angle_beta 90.00
_cell_angle_gamma 120.00
_symmetry_space_group_name_H-M 'P 3 m 1'
_symmetry_Int_Tables_number 156
loop_
_symmetry_equiv_pos_as_xyz
'x,y,z'
'-y,x-y,z'
'-x+y,-x,z'
'-y,-x,z'
'-x+y,y,z'
'x,x-y,z'
loop_
_atom_site_label
_atom_site_fract_x
_atom_site_fract_y
_atom_site_fract_z
_atom_site_occupancy
Ac1 0.0000 0.0000 0.0000 1
Pa1 0.6667 0.3333 0.5328 1
Si1 0.3333 0.6667 0.3852 1



--- ii ---
# AcPaSi GGA-PBE optimized geometry
# Magnetic moment (Bohr magnetons per cell): 0.0
# Volume (Å³ per cell): 327.2
# Mass density (g/cm³): 9.87
data_AcPaSi
_chemical_formula_sum 'Ac4 Pa4 Si4'
_cell_length_a 5.117
_cell_length_b 17.944
_cell_length_c 3.563
_cell_angle_alpha 90.00
_cell_angle_beta 90.00
_cell_angle_gamma 90.00
_symmetry_space_group_name_H-M 'C m c m'
_symmetry_Int_Tables_number 63
_symmetry_space_group_name_Hall '-C 2c 2'
loop_
_atom_site_label
_atom_site_fract_x
_atom_site_fract_y
_atom_site_fract_z
_atom_site_occupancy
Ac1 0.000 0.088 0.250 1
Pa1 0.000 0.275 0.750 1
Si1 0.000 0.455 0.250 1



The most stable of them is ii.



--- i ---
# AcPaSn2 GGA-PBE optimized geometry
# Magnetic moment (Bohr magnetons per cell): 0.8
# Volume (Å³ per cell): 116.9
# Mass density (g/cm³): 9.88
data_AcPaSn2
_chemical_formula_sum 'Ac1 Pa1 Sn2'
_cell_length_a 3.582
_cell_length_b 3.582
_cell_length_c 9.109
_cell_angle_alpha 90.00
_cell_angle_beta 90.00
_cell_angle_gamma 90.00
_symmetry_space_group_name_H-M 'P 4/m m m'
_symmetry_Int_Tables_number 123
_symmetry_space_group_name_Hall '-P 4 2'
loop_
_atom_site_label
_atom_site_fract_x
_atom_site_fract_y
_atom_site_fract_z
_atom_site_occupancy
Ac1 0.000 0.000 0.000 1
Pa1 0.000 0.000 0.500 1
Sn1 0.500 0.500 0.268 1



--- ii ---
# AcPaSn2 GGA-PBE optimized geometry
# Magnetic moment (Bohr magnetons per cell): 0.0
# Volume (Å³ per cell): 351.9
# Mass density (g/cm³): 9.85
data_AcPaSn2
_chemical_formula_sum 'Ac3 Pa3 Sn6'
_cell_length_a 3.4954
_cell_length_b 3.4954
_cell_length_c 33.2579
_cell_angle_alpha 90.00
_cell_angle_beta 90.00
_cell_angle_gamma 120.00
_symmetry_space_group_name_H-M 'R -3 m'
_symmetry_Int_Tables_number 166
_symmetry_space_group_name_Hall '-R 3 2"'
loop_
_atom_site_label
_atom_site_fract_x
_atom_site_fract_y
_atom_site_fract_z
_atom_site_occupancy
Ac1 0.0000 0.0000 0.0000 1
Pa1 0.0000 0.0000 0.5000 1
Sn1 0.0000 0.0000 0.2460 1



--- iii ---
# AcPaSn2 GGA-PBE optimized geometry
# Magnetic moment (Bohr magnetons per cell): 9.2
# Volume (Å³ per cell): 484.9
# Mass density (g/cm³): 9.53
data_AcPaSn2
_chemical_formula_sum 'Ac4 Pa4 Sn8'
_cell_length_a 7.856
_cell_length_b 7.856
_cell_length_c 7.856
_cell_angle_alpha 90.00
_cell_angle_beta 90.00
_cell_angle_gamma 90.00
_symmetry_space_group_name_H-M 'F m -3 m'
_symmetry_Int_Tables_number 225
_symmetry_space_group_name_Hall '-F 4 2 3'
loop_
_atom_site_label
_atom_site_fract_x
_atom_site_fract_y
_atom_site_fract_z
_atom_site_occupancy
Ac1 0.000 0.000 0.000 1
Pa1 0.000 0.000 0.500 1
Sn1 0.250 0.250 0.250 1



The most stable of them is i.



--- i ---
# AcPa2Tc GGA-PBE optimized geometry
# Magnetic moment (Bohr magnetons per cell): 0.0
# Volume (Å³ per cell): 105.7
# Mass density (g/cm³): 12.37
data_AcPa2Tc
_chemical_formula_sum 'Ac1 Pa2 Tc1'
_cell_length_a 3.584
_cell_length_b 3.584
_cell_length_c 8.224
_cell_angle_alpha 90.00
_cell_angle_beta 90.00
_cell_angle_gamma 90.00
_symmetry_space_group_name_H-M 'P 4/m m m'
_symmetry_Int_Tables_number 123
_symmetry_space_group_name_Hall '-P 4 2'
loop_
_atom_site_label
_atom_site_fract_x
_atom_site_fract_y
_atom_site_fract_z
_atom_site_occupancy
Ac1 0.000 0.000 0.000 1
Pa1 0.500 0.500 0.318 1
Tc1 0.000 0.000 0.500 1



--- ii ---
# AcPa2Tc GGA-PBE optimized geometry
# Magnetic moment (Bohr magnetons per cell): 0.0
# Volume (Å³ per cell): 350.9
# Mass density (g/cm³): 11.17
data_AcPa2Tc
_chemical_formula_sum 'Ac3 Pa6 Tc3'
_cell_length_a 3.8478
_cell_length_b 3.8478
_cell_length_c 27.3652
_cell_angle_alpha 90.00
_cell_angle_beta 90.00
_cell_angle_gamma 120.00
_symmetry_space_group_name_H-M 'R -3 m'
_symmetry_Int_Tables_number 166
_symmetry_space_group_name_Hall '-R 3 2"'
loop_
_atom_site_label
_atom_site_fract_x
_atom_site_fract_y
_atom_site_fract_z
_atom_site_occupancy
Ac1 0.0000 0.0000 0.0000 1
Pa1 0.0000 0.0000 0.2244 1
Tc1 0.0000 0.0000 0.5000 1



The most stable of them is i.



--- i ---
# AcPaTc2 GGA-PBE optimized geometry
# Magnetic moment (Bohr magnetons per cell): 0.0
# Volume (Å³ per cell): 361.4
# Mass density (g/cm³): 12.02
data_AcPaTc2
_chemical_formula_sum 'Ac4 Pa4 Tc8'
_cell_length_a 7.123
_cell_length_b 7.123
_cell_length_c 7.123
_cell_angle_alpha 90.00
_cell_angle_beta 90.00
_cell_angle_gamma 90.00
_symmetry_space_group_name_H-M 'F m -3 m'
_symmetry_Int_Tables_number 225
_symmetry_space_group_name_Hall '-F 4 2 3'
loop_
_atom_site_label
_atom_site_fract_x
_atom_site_fract_y
_atom_site_fract_z
_atom_site_occupancy
Ac1 0.000 0.000 0.000 1
Pa1 0.000 0.000 0.500 1
Tc1 0.250 0.250 0.250 1



--- ii ---
# AcPaTc2 GGA-PBE optimized geometry
# Magnetic moment (Bohr magnetons per cell): 0.0
# Volume (Å³ per cell): 91.3
# Mass density (g/cm³): 11.90
data_AcPaTc2
_chemical_formula_sum 'Ac1 Pa1 Tc2'
_cell_length_a 3.454
_cell_length_b 3.454
_cell_length_c 7.651
_cell_angle_alpha 90.00
_cell_angle_beta 90.00
_cell_angle_gamma 90.00
_symmetry_space_group_name_H-M 'P 4/m m m'
_symmetry_Int_Tables_number 123
_symmetry_space_group_name_Hall '-P 4 2'
loop_
_atom_site_label
_atom_site_fract_x
_atom_site_fract_y
_atom_site_fract_z
_atom_site_occupancy
Ac1 0.000 0.000 0.000 1
Pa1 0.000 0.000 0.500 1
Tc1 0.500 0.500 0.308 1



The most stable of them is ii.



--- i ---
# AcPaTc2 GGA-PBE optimized geometry
# Magnetic moment (Bohr magnetons per cell): 0.0
# Volume (Å³ per cell): 90.3
# Mass density (g/cm³): 12.03
data_AcPaTc2
_chemical_formula_sum 'Ac1 Pa1 Tc2'
_cell_length_a 5.040
_cell_length_b 5.040
_cell_length_c 3.555
_cell_angle_alpha 90.00
_cell_angle_beta 90.00
_cell_angle_gamma 90.00
_symmetry_space_group_name_H-M 'P 4/m m m'
_symmetry_Int_Tables_number 123
_symmetry_space_group_name_Hall '-P 4 2'
loop_
_atom_site_label
_atom_site_fract_x
_atom_site_fract_y
_atom_site_fract_z
_atom_site_occupancy
Ac1 0.000 0.000 0.000 1
Pa1 0.500 0.500 0.000 1
Tc1 0.000 0.500 0.500 1



--- ii ---
# AcPaTc2 GGA-PBE optimized geometry
# Magnetic moment (Bohr magnetons per cell): 0.0
# Volume (Å³ per cell): 280.2
# Mass density (g/cm³): 11.63
data_AcPaTc2
_chemical_formula_sum 'Ac3 Pa3 Tc6'
_cell_length_a 3.4872
_cell_length_b 3.4872
_cell_length_c 26.6086
_cell_angle_alpha 90.00
_cell_angle_beta 90.00
_cell_angle_gamma 120.00
_symmetry_space_group_name_H-M 'R -3 m'
_symmetry_Int_Tables_number 166
_symmetry_space_group_name_Hall '-R 3 2"'
loop_
_atom_site_label
_atom_site_fract_x
_atom_site_fract_y
_atom_site_fract_z
_atom_site_occupancy
Ac1 0.0000 0.0000 0.0000 1
Pa1 0.0000 0.0000 0.5000 1
Tc1 0.0000 0.0000 0.2345 1



The most stable of them is ii.



--- i ---
# AcPaTc GGA-PBE optimized geometry
# Magnetic moment (Bohr magnetons per cell): 0.0
# Volume (Å³ per cell): 90.2
# Mass density (g/cm³): 10.24
data_AcPaTc
_chemical_formula_sum 'Ac1 Pa1 Tc1'
_cell_length_a 4.3724
_cell_length_b 4.3724
_cell_length_c 5.4461
_cell_angle_alpha 90.00
_cell_angle_beta 90.00
_cell_angle_gamma 120.00
_symmetry_space_group_name_H-M 'P -6 m 2'
_symmetry_Int_Tables_number 187
_symmetry_space_group_name_Hall 'P -6 2'
loop_
_atom_site_label
_atom_site_fract_x
_atom_site_fract_y
_atom_site_fract_z
_atom_site_occupancy
Ac1 0.0000 0.0000 0.0000 1
Pa1 0.6667 0.3333 0.5000 1
Tc1 0.3333 0.6667 0.5000 1



--- ii ---
# AcPaTc GGA-PBE optimized geometry
# Magnetic moment (Bohr magnetons per cell): 0.0
# Volume (Å³ per cell): 158.4
# Mass density (g/cm³): 11.66
data_AcPaTc
_chemical_formula_sum 'Ac2 Pa2 Tc2'
_cell_length_a 3.581
_cell_length_b 3.581
_cell_length_c 12.348
_cell_angle_alpha 90.00
_cell_angle_beta 90.00
_cell_angle_gamma 90.00
_symmetry_space_group_name_H-M 'I 4 m m'
_symmetry_Int_Tables_number 107
_symmetry_space_group_name_Hall 'I 4 -2'
loop_
_atom_site_label
_atom_site_fract_x
_atom_site_fract_y
_atom_site_fract_z
_atom_site_occupancy
Ac1 0.000 0.000 0.000 1
Pa1 0.000 0.000 0.290 1
Tc1 0.000 0.000 0.700 1



The most stable of them is i.



--- i ---
# AcPaTe2 GGA-PBE optimized geometry
# Magnetic moment (Bohr magnetons per cell): 1.5
# Volume (Å³ per cell): 118.7
# Mass density (g/cm³): 9.98
data_AcPaTe2
_chemical_formula_sum 'Ac1 Pa1 Te2'
_cell_length_a 3.878
_cell_length_b 3.878
_cell_length_c 7.892
_cell_angle_alpha 90.00
_cell_angle_beta 90.00
_cell_angle_gamma 90.00
_symmetry_space_group_name_H-M 'P 4/m m m'
_symmetry_Int_Tables_number 123
_symmetry_space_group_name_Hall '-P 4 2'
loop_
_atom_site_label
_atom_site_fract_x
_atom_site_fract_y
_atom_site_fract_z
_atom_site_occupancy
Ac1 0.000 0.000 0.000 1
Pa1 0.000 0.000 0.500 1
Te1 0.500 0.500 0.274 1



--- ii ---
# AcPaTe2 GGA-PBE optimized geometry
# Magnetic moment (Bohr magnetons per cell): 5.1
# Volume (Å³ per cell): 477.3
# Mass density (g/cm³): 7.44
data_AcPaTe2
_chemical_formula_sum 'Ac3 Pa3 Te6'
_cell_length_a 4.1875
_cell_length_b 4.1875
_cell_length_c 31.4312
_cell_angle_alpha 90.00
_cell_angle_beta 90.00
_cell_angle_gamma 120.00
_symmetry_space_group_name_H-M 'R -3 m'
_symmetry_Int_Tables_number 166
_symmetry_space_group_name_Hall '-R 3 2"'
loop_
_atom_site_label
_atom_site_fract_x
_atom_site_fract_y
_atom_site_fract_z
_atom_site_occupancy
Ac1 0.0000 0.0000 0.0000 1
Pa1 0.0000 0.0000 0.5000 1
Te1 0.0000 0.0000 0.1045 1



--- iii ---
# AcPaTe2 GGA-PBE optimized geometry
# Magnetic moment (Bohr magnetons per cell): 7.6
# Volume (Å³ per cell): 480.5
# Mass density (g/cm³): 9.86
data_AcPaTe2
_chemical_formula_sum 'Ac4 Pa4 Te8'
_cell_length_a 7.832
_cell_length_b 7.832
_cell_length_c 7.832
_cell_angle_alpha 90.00
_cell_angle_beta 90.00
_cell_angle_gamma 90.00
_symmetry_space_group_name_H-M 'F m -3 m'
_symmetry_Int_Tables_number 225
_symmetry_space_group_name_Hall '-F 4 2 3'
loop_
_atom_site_label
_atom_site_fract_x
_atom_site_fract_y
_atom_site_fract_z
_atom_site_occupancy
Ac1 0.000 0.000 0.000 1
Pa1 0.000 0.000 0.500 1
Te1 0.250 0.250 0.250 1



The most stable of them is i.



--- i ---
# AcTmPa GGA-PBE optimized geometry
# Magnetic moment (Bohr magnetons per cell): 0.0
# Volume (Å³ per cell): 95.8
# Mass density (g/cm³): 10.87
data_AcTmPa
_chemical_formula_sum 'Ac1 Tm1 Pa1'
_cell_length_a 3.5445
_cell_length_b 3.5445
_cell_length_c 8.8068
_cell_angle_alpha 90.00
_cell_angle_beta 90.00
_cell_angle_gamma 120.00
_symmetry_space_group_name_H-M 'P 3 m 1'
_symmetry_Int_Tables_number 156
loop_
_symmetry_equiv_pos_as_xyz
'x,y,z'
'-y,x-y,z'
'-x+y,-x,z'
'-y,-x,z'
'-x+y,y,z'
'x,x-y,z'
loop_
_atom_site_label
_atom_site_fract_x
_atom_site_fract_y
_atom_site_fract_z
_atom_site_occupancy
Ac1 0.0000 0.0000 0.0000 1
Tm1 0.3333 0.6667 0.6345 1
Pa1 0.6667 0.3333 0.3297 1



--- ii ---
# AcTmPa GGA-PBE optimized geometry
# Magnetic moment (Bohr magnetons per cell): 0.0
# Volume (Å³ per cell): 193.6
# Mass density (g/cm³): 10.75
data_AcTmPa
_chemical_formula_sum 'Ac2 Tm2 Pa2'
_cell_length_a 3.595
_cell_length_b 3.595
_cell_length_c 14.987
_cell_angle_alpha 90.00
_cell_angle_beta 90.00
_cell_angle_gamma 90.00
_symmetry_space_group_name_H-M 'P 4/n m m'
_symmetry_Int_Tables_number 129
loop_
_symmetry_equiv_pos_as_xyz
'x,y,z'
'-x,-y,-z'
'-y+1/2,x,z'
'y+1/2,-x,-z'
'-x+1/2,-y+1/2,z'
'x+1/2,y+1/2,-z'
'y,-x+1/2,z'
'-y,x+1/2,-z'
'x+1/2,-y,-z'
'-x+1/2,y,z'
'-y,-x,-z'
'y,x,z'
'-x,y+1/2,-z'
'x,-y+1/2,z'
'y+1/2,x+1/2,-z'
'-y+1/2,-x+1/2,z'
loop_
_atom_site_label
_atom_site_fract_x
_atom_site_fract_y
_atom_site_fract_z
_atom_site_occupancy
Ac1 0.250 0.250 0.232 1
Tm1 0.250 0.250 0.576 1
Pa1 0.250 0.250 0.934 1



The most stable of them is ii.